i) BrO2F2: optimized geometry, GGA-PBE.

The space group is C2/c (No. 15) and the conventional cell measures 8.525, 7.456 and 7.344 Å, with angles of 90.00, 90.62 and 90.00 degrees. Symmetry generates all atoms from Br at (0.000, 0.007, 0.250), O at (0.050, 0.492, 0.810) and F at (0.155, 0.008, 0.439).

The volume comes out at 467 Å³/cell.

ii) BrO2F2: optimized geometry, GGA-PBE.

The space group is P4/mbm (No. 127) and the conventional cell measures 5.981, 5.981 and 5.394 Å, with angles of 90.00, 90.00 and 90.00 degrees. Symmetry generates all atoms from Br at (0.000, 0.000, 0.000), O at (0.073, 0.427, 0.500) and F at (0.243, 0.743, 0.000).

The volume comes out at 193 Å³/cell.

iii) BrO2F2: optimized geometry, GGA-PBE.

The space group is P4/mmm (No. 123) and the conventional cell measures 4.408, 4.408 and 3.712 Å, with angles of 90.00, 90.00 and 90.00 degrees. Symmetry generates all atoms from Br at (0.000, 0.000, 0.000), O at (0.000, 0.000, 0.500), O at (0.500, 0.500, 0.500) and F at (0.000, 0.500, 0.000).

The volume comes out at 72 Å³/cell.

Energy ordering: i) at the bottom, the next structure 0.080 eV/atom above.

i) BrO2F2: optimized geometry, GGA-PBE.

The space group is I4/mmm (No. 139) and the conventional cell measures 2.652, 2.652 and 18.449 Å, with angles of 90.00, 90.00 and 90.00 degrees. Symmetry generates all atoms from Br at (0.000, 0.000, 0.000), O at (0.000, 0.500, 0.250) and F at (0.000, 0.000, 0.411).

The volume comes out at 130 Å³/cell.

ii) BrO2F2: optimized geometry, GGA-PBE.

The space group is P4/mmm (No. 123) and the conventional cell measures 3.680, 3.680 and 5.189 Å, with angles of 90.00, 90.00 and 90.00 degrees. Symmetry generates all atoms from Br at (0.000, 0.000, 0.000), O at (0.000, 0.500, 0.500), F at (0.500, 0.500, 0.000) and F at (0.500, 0.500, 0.500).

The volume comes out at 70 Å³/cell.

iii) BrO2F2: optimized geometry, GGA-PBE.

The space group is P4/mmm (No. 123) and the conventional cell measures 3.975, 3.975 and 3.691 Å, with angles of 90.00, 90.00 and 90.00 degrees. Symmetry generates all atoms from Br at (0.000, 0.000, 0.000), O at (0.500, 0.500, 0.000), O at (0.500, 0.500, 0.500) and F at (0.000, 0.500, 0.500).

The volume comes out at 58 Å³/cell.

iv) BrO2F2: optimized geometry, GGA-PBE.

The space group is P4/mmm (No. 123) and the conventional cell measures 3.811, 3.811 and 4.244 Å, with angles of 90.00, 90.00 and 90.00 degrees. Symmetry generates all atoms from Br at (0.000, 0.000, 0.000), O at (0.000, 0.500, 0.000), F at (0.000, 0.000, 0.500) and F at (0.500, 0.500, 0.500).

The volume comes out at 62 Å³/cell.

Energy ordering: iv) at the bottom, the next structure 0.312 eV/atom above.

i) BrOF2: optimized geometry, GGA-PBE.

The space group is I4_1/amd (No. 141, origin choice 2) and the conventional cell measures 5.748, 5.748 and 8.276 Å, with angles of 90.00, 90.00 and 90.00 degrees. Symmetry generates all atoms from Br at (0.000, 0.250, 0.375), O at (0.000, 0.250, 0.875) and F at (0.000, 0.000, 0.000).

The volume comes out at 273 Å³/cell.

ii) BrOF2: optimized geometry, GGA-PBE.

The space group is P1 (No. 1) and the conventional cell measures 4.168, 4.618 and 4.682 Å, with angles of 111.21, 97.46 and 101.11 degrees. Symmetry generates all atoms from Br at (0.000, 0.000, 0.000), O at (0.922, 0.631, 0.986), F at (0.270, 0.932, 0.697) and F at (0.750, 0.151, 0.308).

The volume comes out at 80 Å³/cell.

Energy ordering: ii) at the bottom, the next structure 1.012 eV/atom above.